The following is a PBE calculation of crystalline PmDyEr2As4 at its relaxed geometry, from Alexandria via LeMat-Bulk.

The uncorrected energy is -49.2 eV for the cell shown. The calculated formation energy is -146.7 kJ per mole of atoms.

It has space group P2/m (No. 10), with a = 7.152 Å, b = 4.134 Å, c = 7.155 Å, α = 90.00°, β = 109.48° and γ = 90.00°. The inequivalent atoms are Pm at (0.000, 0.000, 0.000), Dy at (0.000, 0.500, 0.500), Er at (0.500, 0.000, 0.500), Er at (0.500, 0.500, 0.000), As at (0.255, 0.000, 0.748) and As at (0.257, 0.500, 0.256).